# 1
A plane-wave DFT calculation with PBE was carried out for an optimized crystal structure of MgCl2.

Results
Volume: 24.8 Å³ per atom
Magnetic moment: 0.0 μB per cell
Raw formation energy: -1.428 eV per atom
Space-group type: I4/mmm

Unit cell a=3.243 b=3.243 c=14.162 alpha=90.00 beta=90.00 gamma=90.00
Fractional coordinates of all 6 atoms:
1 Mg 0.000 0.000 0.000
2 Mg 0.500 0.500 0.500
3 Cl 0.000 0.000 0.394
4 Cl 0.000 0.000 0.606
5 Cl 0.500 0.500 0.106
6 Cl 0.500 0.500 0.894

=====

# 2
A plane-wave DFT calculation with PBE was carried out for an optimized crystal structure of InAuS2.

Results
Volume: 25.9 Å³ per atom
Magnetic moment: 0.0 μB per cell
Raw formation energy: -0.183 eV per atom
Space-group type: Pnma

Unit cell a=7.162 b=3.864 c=15.003 alpha=90.00 beta=90.00 gamma=90.00
Fractional coordinates of all 16 atoms:
1 In 0.104 0.250 0.082
2 In 0.396 0.750 0.582
3 In 0.604 0.250 0.418
4 In 0.896 0.750 0.918
5 Au 0.089 0.250 0.753
6 Au 0.411 0.750 0.253
7 Au 0.589 0.250 0.747
8 Au 0.911 0.750 0.247
9 S 0.164 0.250 0.243
10 S 0.225 0.750 0.990
11 S 0.275 0.250 0.490
12 S 0.336 0.750 0.743
13 S 0.664 0.250 0.257
14 S 0.725 0.750 0.510
15 S 0.775 0.250 0.010
16 S 0.836 0.750 0.757

=====

# 3
A plane-wave DFT calculation with PBE was carried out for an optimized crystal structure of Dy2MnGa3Ni4.

Results
Volume: 16.2 Å³ per atom
Magnetic moment: 3.3 μB per cell
Space-group type: P-4m2
Energy of formation from the pure elements: -0.468 eV/atom

Unit cell a=3.891 b=3.891 c=10.687 alpha=90.00 beta=90.00 gamma=90.00
Fractional coordinates of all 10 atoms:
1 Dy 0.000 0.500 0.246
2 Dy 0.500 0.000 0.754
3 Mn 0.500 0.500 0.000
4 Ga 0.000 0.000 0.000
5 Ga 0.000 0.500 0.631
6 Ga 0.500 0.000 0.369
7 Ni 0.000 0.000 0.500
8 Ni 0.000 0.500 0.857
9 Ni 0.500 0.000 0.143
10 Ni 0.500 0.500 0.500